# NbSiGe2, relaxed, DFT PBE
data_NbSiGe2
_chemical_formula_sum 'Nb2 Si2 Ge4'
_space_group_name_H-M_alt 'P 1'
_space_group_IT_number 1
_cell_length_a 6.077
_cell_length_b 6.077
_cell_length_c 6.656
_cell_angle_alpha 62.84
_cell_angle_beta 62.84
_cell_angle_gamma 90.00
loop_
_space_group_symop_operation_xyz
'x,y,z'
loop_
_atom_site_label
_atom_site_type_symbol
_atom_site_fract_x
_atom_site_fract_y
_atom_site_fract_z
Nb1 Nb 0.000 0.000 0.000
Nb2 Nb 0.750 0.250 0.500
Si1 Si 0.500 0.500 0.000
Si2 Si 0.250 0.750 0.500
Ge1 Ge 0.604 0.125 0.250
Ge2 Ge 0.146 0.625 0.250
Ge3 Ge 0.375 0.396 0.750
Ge4 Ge 0.875 0.854 0.750
# - symmetry = I-42d (122)
# - crystal system = tetragonal
# - E_form (uncorrected) (eV/atom) = 0.5813
# - volume (Å³ per atom) = 23.47